(1)
Entry from the Alexandria database: a geometry-optimized HfSn2Br2 structure (PBE).

Geometry as CIF:
```
data_HfSn2Br2
_chemical_formula_sum 'Hf2 Sn4 Br4'
_symmetry_space_group_name_H-M 'P 1'
_symmetry_Int_Tables_number 1
_cell_length_a 8.782
_cell_length_b 8.782
_cell_length_c 3.412
_cell_angle_alpha 90.00
_cell_angle_beta 90.00
_cell_angle_gamma 90.00
loop_
_symmetry_equiv_pos_as_xyz
'x,y,z'
loop_
_atom_site_label
_atom_site_type_symbol
_atom_site_fract_x
_atom_site_fract_y
_atom_site_fract_z
Br1 Br 0.126 0.374 0.000
Sn1 Sn 0.191 0.691 0.500
Br2 Br 0.874 0.626 0.000
Br3 Br 0.374 0.874 0.000
Hf1 Hf 0.500 0.500 0.000
Hf2 Hf 0.000 0.000 0.000
Sn2 Sn 0.309 0.191 0.500
Sn3 Sn 0.809 0.309 0.500
Br4 Br 0.626 0.126 0.000
Sn4 Sn 0.691 0.809 0.500
```

Results
For the raw total energy, the calculation gives -40.57 eV for the cell shown. Its space group is P4/mbm, No. 127.

=====

(2)
Entry from the Alexandria database: a geometry-optimized HfSn2Br structure (PBE).

Geometry as CIF:
```
data_HfSn2Br
_chemical_formula_sum 'Hf1 Sn2 Br1'
_symmetry_space_group_name_H-M 'P 1'
_symmetry_Int_Tables_number 1
_cell_length_a 5.245
_cell_length_b 5.245
_cell_length_c 5.245
_cell_angle_alpha 60.00
_cell_angle_beta 60.00
_cell_angle_gamma 60.00
loop_
_symmetry_equiv_pos_as_xyz
'x,y,z'
loop_
_atom_site_label
_atom_site_type_symbol
_atom_site_fract_x
_atom_site_fract_y
_atom_site_fract_z
Hf1 Hf 0.500 0.500 0.500
Sn1 Sn 0.750 0.750 0.750
Sn2 Sn 0.250 0.250 0.250
Br1 Br 0.000 0.000 0.000
```

Results
For the raw total energy, the calculation gives -18.37 eV for the cell shown. Its space group is Fm-3m, No. 225.

=====

(3)
Entry from the Alexandria database: a geometry-optimized HfSn3Br structure (PBE).

Geometry as CIF:
```
data_HfSn3Br
_chemical_formula_sum 'Hf1 Sn3 Br1'
_symmetry_space_group_name_H-M 'P 1'
_symmetry_Int_Tables_number 1
_cell_length_a 5.616
_cell_length_b 5.616
_cell_length_c 5.616
_cell_angle_alpha 90.00
_cell_angle_beta 90.00
_cell_angle_gamma 90.00
loop_
_symmetry_equiv_pos_as_xyz
'x,y,z'
loop_
_atom_site_label
_atom_site_type_symbol
_atom_site_fract_x
_atom_site_fract_y
_atom_site_fract_z
Sn1 Sn 0.000 0.500 0.000
Br1 Br 0.500 0.500 0.500
Sn2 Sn 0.000 0.000 0.500
Sn3 Sn 0.500 0.000 0.000
Hf1 Hf 0.000 0.000 0.000
```

Results
For the raw total energy, the calculation gives -22.30 eV for the cell shown. Its space group is Pm-3m, No. 221.

=====

(4)
Entry from the Alexandria database: a geometry-optimized HfSnBr2 structure (PBE).

Geometry as CIF:
```
data_HfSnBr2
_chemical_formula_sum 'Hf1 Sn1 Br2'
_symmetry_space_group_name_H-M 'P 1'
_symmetry_Int_Tables_number 1
_cell_length_a 5.065
_cell_length_b 5.065
_cell_length_c 5.065
_cell_angle_alpha 60.00
_cell_angle_beta 60.00
_cell_angle_gamma 60.00
loop_
_symmetry_equiv_pos_as_xyz
'x,y,z'
loop_
_atom_site_label
_atom_site_type_symbol
_atom_site_fract_x
_atom_site_fract_y
_atom_site_fract_z
Br1 Br 0.250 0.250 0.250
Hf1 Hf 0.500 0.500 0.500
Sn1 Sn 0.000 0.000 0.000
Br2 Br 0.750 0.750 0.750
```

Results
For the raw total energy, the calculation gives -16.78 eV for the cell shown. Its space group is Fm-3m, No. 225.

=====

(5)
Entry from the Alexandria database: a geometry-optimized HfSnBr2 structure (PBE).

Geometry as CIF:
```
data_HfSnBr2
_chemical_formula_sum 'Hf2 Sn2 Br4'
_symmetry_space_group_name_H-M 'P 1'
_symmetry_Int_Tables_number 1
_cell_length_a 9.270
_cell_length_b 9.270
_cell_length_c 7.169
_cell_angle_alpha 49.72
_cell_angle_beta 49.72
_cell_angle_gamma 90.00
loop_
_symmetry_equiv_pos_as_xyz
'x,y,z'
loop_
_atom_site_label
_atom_site_type_symbol
_atom_site_fract_x
_atom_site_fract_y
_atom_site_fract_z
Br1 Br 0.875 0.000 0.750
Br2 Br 0.375 0.250 0.750
Hf1 Hf 0.750 0.250 0.500
Sn1 Sn 0.500 0.500 0.000
Sn2 Sn 0.250 0.750 0.500
Br3 Br 0.750 0.125 0.250
Hf2 Hf 0.000 0.000 0.000
Br4 Br 0.000 0.625 0.250
```

Results
For the raw total energy, the calculation gives -36.58 eV for the cell shown. Its space group is I-42d, No. 122.

=====

(6)
Entry from the Alexandria database: a geometry-optimized Hf3SnBr structure (PBE).

Geometry as CIF:
```
data_Hf3SnBr
_chemical_formula_sum 'Hf3 Sn1 Br1'
_symmetry_space_group_name_H-M 'P 1'
_symmetry_Int_Tables_number 1
_cell_length_a 4.925
_cell_length_b 4.925
_cell_length_c 4.925
_cell_angle_alpha 90.00
_cell_angle_beta 90.00
_cell_angle_gamma 90.00
loop_
_symmetry_equiv_pos_as_xyz
'x,y,z'
loop_
_atom_site_label
_atom_site_type_symbol
_atom_site_fract_x
_atom_site_fract_y
_atom_site_fract_z
Hf1 Hf 0.000 0.000 0.500
Sn1 Sn 0.500 0.500 0.500
Br1 Br 0.000 0.000 0.000
Hf2 Hf 0.000 0.500 0.000
Hf3 Hf 0.500 0.000 0.000
```

Results
For the raw total energy, the calculation gives -32.64 eV for the cell shown. Its space group is Pm-3m, No. 221.

=====

(7)
Entry from the Alexandria database: a geometry-optimized HfSn2Br2 structure (PBE).

Geometry as CIF:
```
data_HfSn2Br2
_chemical_formula_sum 'Hf1 Sn2 Br2'
_symmetry_space_group_name_H-M 'P 1'
_symmetry_Int_Tables_number 1
_cell_length_a 3.809
_cell_length_b 3.809
_cell_length_c 11.979
_cell_angle_alpha 80.85
_cell_angle_beta 80.85
_cell_angle_gamma 90.00
loop_
_symmetry_equiv_pos_as_xyz
'x,y,z'
loop_
_atom_site_label
_atom_site_type_symbol
_atom_site_fract_x
_atom_site_fract_y
_atom_site_fract_z
Br1 Br 0.432 0.432 0.136
Sn1 Sn 0.750 0.250 0.500
Sn2 Sn 0.250 0.750 0.500
Hf1 Hf 0.000 0.000 0.000
Br2 Br 0.568 0.568 0.864
```

Results
For the raw total energy, the calculation gives -20.57 eV for the cell shown. Its space group is I4/mmm, No. 139.

=====

(8)
Entry from the Alexandria database: a geometry-optimized HfSnBr6 structure (PBE).

Geometry as CIF:
```
data_HfSnBr6
_chemical_formula_sum 'Hf1 Sn1 Br6'
_symmetry_space_group_name_H-M 'P 1'
_symmetry_Int_Tables_number 1
_cell_length_a 7.014
_cell_length_b 7.376
_cell_length_c 6.994
_cell_angle_alpha 82.05
_cell_angle_beta 73.08
_cell_angle_gamma 61.61
loop_
_symmetry_equiv_pos_as_xyz
'x,y,z'
loop_
_atom_site_label
_atom_site_type_symbol
_atom_site_fract_x
_atom_site_fract_y
_atom_site_fract_z
Sn1 Sn 0.000 0.000 0.000
Br1 Br 0.263 0.000 0.272
Br2 Br 0.424 0.712 0.725
Br3 Br 0.737 0.000 0.728
Br4 Br 0.136 0.288 0.725
Hf1 Hf 0.500 0.000 0.500
Br5 Br 0.576 0.288 0.275
Br6 Br 0.864 0.712 0.275
```

Results
For the raw total energy, the calculation gives -33.12 eV for the cell shown. Its space group is C2/m, No. 12.

=====

(9)
Entry from the Alexandria database: a geometry-optimized HfSnBr6 structure (PBE).

Geometry as CIF:
```
data_HfSnBr6
_chemical_formula_sum 'Hf1 Sn1 Br6'
_symmetry_space_group_name_H-M 'P 1'
_symmetry_Int_Tables_number 1
_cell_length_a 7.020
_cell_length_b 7.020
_cell_length_c 7.543
_cell_angle_alpha 62.26
_cell_angle_beta 62.27
_cell_angle_gamma 60.00
loop_
_symmetry_equiv_pos_as_xyz
'x,y,z'
loop_
_atom_site_label
_atom_site_type_symbol
_atom_site_fract_x
_atom_site_fract_y
_atom_site_fract_z
Br1 Br 0.222 0.935 0.235
Sn1 Sn 0.500 0.500 0.500
Br2 Br 0.778 0.065 0.765
Br3 Br 0.934 0.608 0.235
Br4 Br 0.392 0.778 0.765
Hf1 Hf 0.000 0.000 0.000
Br5 Br 0.066 0.392 0.765
Br6 Br 0.608 0.222 0.235
```

Results
For the raw total energy, the calculation gives -32.99 eV for the cell shown. Its space group is R-3, No. 148.

=====

(10)
Entry from the Alexandria database: a geometry-optimized HfSn2TeBr structure (PBE).

Geometry as CIF:
```
data_HfSn2TeBr
_chemical_formula_sum 'Hf1 Sn2 Te1 Br1'
_symmetry_space_group_name_H-M 'P 1'
_symmetry_Int_Tables_number 1
_cell_length_a 5.985
_cell_length_b 5.314
_cell_length_c 5.985
_cell_angle_alpha 90.00
_cell_angle_beta 90.00
_cell_angle_gamma 90.00
loop_
_symmetry_equiv_pos_as_xyz
'x,y,z'
loop_
_atom_site_label
_atom_site_type_symbol
_atom_site_fract_x
_atom_site_fract_y
_atom_site_fract_z
Sn1 Sn 0.000 0.000 0.500
Hf1 Hf 0.000 0.500 0.000
Te1 Te 0.000 0.000 0.000
Sn2 Sn 0.500 0.000 0.000
Br1 Br 0.500 0.500 0.500
```

Results
For the raw total energy, the calculation gives -19.08 eV for the cell shown. Its space group is P4/mmm, No. 123.

=====

(11)
Entry from the Alexandria database: a geometry-optimized YHfSn2Br structure (PBE).

Geometry as CIF:
```
data_YHfSn2Br
_chemical_formula_sum 'Y1 Hf1 Sn2 Br1'
_symmetry_space_group_name_H-M 'P 1'
_symmetry_Int_Tables_number 1
_cell_length_a 5.469
_cell_length_b 5.856
_cell_length_c 5.469
_cell_angle_alpha 90.00
_cell_angle_beta 90.00
_cell_angle_gamma 90.00
loop_
_symmetry_equiv_pos_as_xyz
'x,y,z'
loop_
_atom_site_label
_atom_site_type_symbol
_atom_site_fract_x
_atom_site_fract_y
_atom_site_fract_z
Sn1 Sn 0.000 0.000 0.500
Br1 Br 0.500 0.500 0.500
Y1 Y 0.000 0.500 0.000
Hf1 Hf 0.000 0.000 0.000
Sn2 Sn 0.500 0.000 0.000
```

Results
For the raw total energy, the calculation gives -24.97 eV for the cell shown. Its space group is P4/mmm, No. 123.

=====

(12)
Entry from the Alexandria database: a geometry-optimized SrHf2Br structure (PBE).

Geometry as CIF:
```
data_SrHf2Br
_chemical_formula_sum 'Sr1 Hf2 Br1'
_symmetry_space_group_name_H-M 'P 1'
_symmetry_Int_Tables_number 1
_cell_length_a 5.316
_cell_length_b 5.316
_cell_length_c 5.316
_cell_angle_alpha 60.00
_cell_angle_beta 60.00
_cell_angle_gamma 60.00
loop_
_symmetry_equiv_pos_as_xyz
'x,y,z'
loop_
_atom_site_label
_atom_site_type_symbol
_atom_site_fract_x
_atom_site_fract_y
_atom_site_fract_z
Hf1 Hf 0.250 0.250 0.250
Hf2 Hf 0.750 0.750 0.750
Sr1 Sr 0.500 0.500 0.500
Br1 Br 0.000 0.000 0.000
```

Results
For the raw total energy, the calculation gives -19.48 eV for the cell shown. Its space group is Fm-3m, No. 225.

=====

> Which of these has the lowest raw total energy?

number 1

=====

> Which value of raw total energy does entry 10 give?

-19.08 eV for the cell shown